[1]
TbPmNO after structural relaxation. Source: OQMD, functional PBE.

Lattice parameters (Å, degrees): 4.280 4.280 8.315 90.00 90.00 90.00
Element x y z (fractional)
Tb1 0.250 0.750 0.000
Tb2 0.750 0.250 0.000
Pm1 0.250 0.250 0.385
Pm2 0.750 0.750 0.615
N1 0.250 0.250 0.883
N2 0.750 0.750 0.117
O1 0.250 0.750 0.500
O2 0.750 0.250 0.500

Values from the calculation:
As for the space group: No. 129.

---

[2]
TbPmNO after structural relaxation. Source: OQMD, functional PBE.

Lattice parameters (Å, degrees): 5.016 4.046 7.004 90.00 90.00 90.00
Element x y z (fractional)
Tb1 0.250 0.000 0.168
Tb2 0.750 0.000 0.832
Pm1 0.250 0.500 0.666
Pm2 0.750 0.500 0.334
N1 0.250 0.500 0.328
N2 0.750 0.500 0.672
O1 0.250 0.000 0.841
O2 0.750 0.000 0.159

Values from the calculation:
As for the space group: No. 51.

---

[3]
TbPmNO after structural relaxation. Source: OQMD, functional PBE.

Lattice parameters (Å, degrees): 4.055 6.998 4.982 90.00 90.00 90.00
Element x y z (fractional)
Tb1 0.000 0.167 0.000
Tb2 0.000 0.833 0.500
Pm1 0.500 0.335 0.500
Pm2 0.500 0.665 0.000
N1 0.000 0.158 0.501
N2 0.000 0.842 0.001
O1 0.500 0.315 0.999
O2 0.500 0.685 0.499

Values from the calculation:
As for the space group: No. 26.

---

[4]
TbPmNO after structural relaxation. Source: OQMD, functional PBE.

Lattice parameters (Å, degrees): 8.195 6.733 5.070 90.00 90.00 90.00
Element x y z (fractional)
Tb1 0.121 0.073 0.250
Tb2 0.121 0.427 0.750
Tb3 0.879 0.573 0.250
Tb4 0.879 0.927 0.750
Pm1 0.371 0.581 0.250
Pm2 0.371 0.919 0.750
Pm3 0.629 0.081 0.250
Pm4 0.629 0.419 0.750
N1 0.369 0.565 0.750
N2 0.369 0.935 0.250
N3 0.631 0.065 0.750
N4 0.631 0.435 0.250
O1 0.122 0.095 0.750
O2 0.122 0.405 0.250
O3 0.878 0.595 0.750
O4 0.878 0.905 0.250

Values from the calculation:
As for the space group: No. 57.

---

[5]
PmZnNO after structural relaxation. Source: OQMD, functional PBE.

Lattice parameters (Å, degrees): 3.437 5.620 5.819 90.00 90.00 90.00
Element x y z (fractional)
Pm1 0.000 0.201 0.000
Pm2 0.000 0.799 0.500
Zn1 0.500 0.249 0.525
Zn2 0.500 0.751 0.025
N1 0.500 0.046 0.248
N2 0.500 0.954 0.748
O1 0.000 0.409 0.625
O2 0.000 0.591 0.125

Values from the calculation:
As for the space group: No. 26.

---

[6]
PmZnNO after structural relaxation. Source: OQMD, functional PBE.

Lattice parameters (Å, degrees): 4.926 4.926 4.555 90.00 90.00 90.00
Element x y z (fractional)
Pm1 0.250 0.750 0.000
Pm2 0.750 0.250 0.000
Zn1 0.250 0.250 0.490
Zn2 0.750 0.750 0.510
N1 0.250 0.250 0.008
N2 0.750 0.750 0.992
O1 0.250 0.750 0.500
O2 0.750 0.250 0.500

Values from the calculation:
As for the space group: No. 129.

---

[7]
PmZnNO after structural relaxation. Source: OQMD, functional PBE.

Lattice parameters (Å, degrees): 5.608 7.962 5.192 90.00 90.00 90.00
Element x y z (fractional)
Pm1 0.030 0.153 0.000
Pm2 0.470 0.153 0.500
Pm3 0.530 0.847 0.000
Pm4 0.970 0.847 0.500
Zn1 0.051 0.617 0.987
Zn2 0.449 0.617 0.487
Zn3 0.551 0.383 0.987
Zn4 0.949 0.383 0.487
N1 0.047 0.141 0.523
N2 0.453 0.141 0.023
N3 0.547 0.859 0.523
N4 0.953 0.859 0.023
O1 0.111 0.585 0.606
O2 0.389 0.585 0.106
O3 0.611 0.415 0.606
O4 0.889 0.415 0.106

Values from the calculation:
As for the space group: No. 29.

---

[8]
PmZnNO after structural relaxation. Source: OQMD, functional PBE.

Lattice parameters (Å, degrees): 3.739 3.739 7.931 90.00 90.00 90.00
Element x y z (fractional)
Pm1 0.250 0.250 0.160
Pm2 0.750 0.750 0.840
Zn1 0.250 0.750 0.500
Zn2 0.750 0.250 0.500
N1 0.250 0.250 0.637
N2 0.750 0.750 0.363
O1 0.250 0.750 0.000
O2 0.750 0.250 0.000

Values from the calculation:
As for the space group: No. 129.

---

So what do the calculations give for energy? Going down the list: -7.37 -7.79 -7.82 -7.76 -6.28 -6.13 -6.29 -6.26 eV/atom.
So what do the calculations give for energy relative to the lowest polymorph listed for this composition? Going down the list: 451 32 0 59 27 181 19 51 meV per atom.